Entry 1:
Below is an optimized crystal structure of Sc2AsH, with properties calculated at the GGA-PBEsol level.

Values from the calculation:
DFT total energy: -0.220 Ha/atom
size of the total moment: 0.6 μB per cell

Lattice parameters (Å, degrees): 3.9390 3.9390 19.1318 90.00 90.00 120.00
With the nearest neighbours (Å) after each atom.
Space group R-3m (No. 166, hexagonal axes)
One atom of each set of equivalent atoms:
Sc 0.0000 0.0000 0.0983 (multiplicity 6)  1 H 1.88
As 0.0000 0.0000 0.5000 (multiplicity 3)  6 Sc 2.62
H 0.0000 0.0000 0.0000 (multiplicity 3)  2 Sc 1.88

---

Entry 2:
Below is an optimized crystal structure of ScAsHSe2, with properties calculated at the GGA-PBEsol level.

Values from the calculation:
DFT total energy: -0.153 Ha/atom
size of the total moment: 0.8 μB per cell

Lattice parameters (Å, degrees): 5.0510 5.0510 5.1077 90.00 90.00 90.00
With the nearest neighbours (Å) after each atom.
Space group P4/mmm (No. 123)
One atom of each set of equivalent atoms:
Sc 0.0000 0.0000 0.0000 (multiplicity 1)  4 Se 2.53, 2 As 2.55
As 0.0000 0.0000 0.5000 (multiplicity 1)  2 Sc 2.55
H 0.5000 0.5000 0.5000 (multiplicity 1)  4 As 3.57, 8 Se 3.59
Se 0.0000 0.5000 0.0000 (multiplicity 2)  2 Sc 2.53

---

Entry 3:
Below is an optimized crystal structure of YAs2HSe, with properties calculated at the GGA-PBEsol level.

Values from the calculation:
DFT total energy: -0.151 Ha/atom
size of the total moment: 0.5 μB per cell

Lattice parameters (Å, degrees): 5.4206 5.4206 5.3435 90.00 90.00 90.00
With the nearest neighbours (Å) after each atom.
Space group P4/mmm (No. 123)
One atom of each set of equivalent atoms:
Y 0.0000 0.0000 0.0000 (multiplicity 1)  2 Se 2.67, 4 As 2.71
As 0.0000 0.5000 0.0000 (multiplicity 2)  2 Y 2.71
H 0.5000 0.5000 0.5000 (multiplicity 1)  8 As 3.81, 4 Se 3.83
Se 0.0000 0.0000 0.5000 (multiplicity 1)  2 Y 2.67

---

Entry 4:
Below is an optimized crystal structure of ZnAs2HSe, with properties calculated at the GGA-PBEsol level.

Values from the calculation:
DFT total energy: -0.098 Ha/atom
size of the total moment: 1.0 μB per cell

Lattice parameters (Å, degrees): 4.7682 4.7682 4.9248 90.00 90.00 90.00
With the nearest neighbours (Å) after each atom.
Space group P4/mmm (No. 123)
One atom of each set of equivalent atoms:
Zn 0.0000 0.0000 0.0000 (multiplicity 1)  4 As 2.38, 2 Se 2.46
As 0.0000 0.5000 0.0000 (multiplicity 2)  2 Zn 2.38
H 0.5000 0.5000 0.5000 (multiplicity 1)  4 Se 3.37, 8 As 3.43
Se 0.0000 0.0000 0.5000 (multiplicity 1)  2 Zn 2.46

---

Entry 5:
Below is an optimized crystal structure of SiAs3H, with properties calculated at the GGA-PBEsol level.

Values from the calculation:
DFT total energy: -0.138 Ha/atom
size of the total moment: 0.7 μB per cell

Lattice parameters (Å, degrees): 4.7136 4.7136 4.7136 90.00 90.00 90.00
With the nearest neighbours (Å) after each atom.
Space group Pm-3m (No. 221)
One atom of each set of equivalent atoms:
Si 0.0000 0.0000 0.0000 (multiplicity 1)  6 As 2.36
As 0.0000 0.0000 0.5000 (multiplicity 3)  2 Si 2.36
H 0.5000 0.5000 0.5000 (multiplicity 1)  12 As 3.33

---

Entry 6:
Below is an optimized crystal structure of SnAsH3, with properties calculated at the GGA-PBEsol level.

Values from the calculation:
DFT total energy: -0.122 Ha/atom
size of the total moment: 0.0 μB per cell

Lattice parameters (Å, degrees): 3.8110 3.8110 3.8110 90.00 90.00 90.00
With the nearest neighbours (Å) after each atom.
Space group Pm-3m (No. 221)
One atom of each set of equivalent atoms:
Sn 0.0000 0.0000 0.0000 (multiplicity 1)  12 H 2.69
As 0.5000 0.5000 0.5000 (multiplicity 1)  6 H 1.91
H 0.0000 0.5000 0.5000 (multiplicity 3)  2 As 1.91

---

Entry 7:
Below is an optimized crystal structure of Sn3AsH, with properties calculated at the GGA-PBEsol level.

Values from the calculation:
DFT total energy: -0.119 Ha/atom
size of the total moment: 0.3 μB per cell

Lattice parameters (Å, degrees): 5.3594 5.3594 5.3594 90.00 90.00 90.00
With the nearest neighbours (Å) after each atom.
Space group Pm-3m (No. 221)
One atom of each set of equivalent atoms:
Sn 0.0000 0.0000 0.5000 (multiplicity 3)  2 As 2.68
As 0.0000 0.0000 0.0000 (multiplicity 1)  6 Sn 2.68
H 0.5000 0.5000 0.5000 (multiplicity 1)  12 Sn 3.79

---

Entry 8:
Below is an optimized crystal structure of SnAsH2, with properties calculated at the GGA-PBEsol level.

Values from the calculation:
size of the total moment: 0.0 μB per cell
E above lowest polymorph: 0.135 eV/atom

Lattice parameters (Å, degrees): 5.8071 5.8071 5.8071 90.00 90.00 90.00
With the nearest neighbours (Å) after each atom.
Space group Fm-3m (No. 225)
One atom of each set of equivalent atoms:
Sn 0.0000 0.0000 0.0000 (multiplicity 4)  8 H 2.51
As 0.0000 0.0000 0.5000 (multiplicity 4)  8 H 2.51
H 0.2500 0.2500 0.2500 (multiplicity 8)  4 As 2.51, 4 Sn 2.51

---

Entry 9:
Below is an optimized crystal structure of SnAsH2, with properties calculated at the GGA-PBEsol level.

Values from the calculation:
size of the total moment: 0.0 μB per cell
E above lowest polymorph: 0.000 eV/atom

Lattice parameters (Å, degrees): 4.3541 4.3541 11.6237 90.00 90.00 90.00
With the nearest neighbours (Å) after each atom.
Space group I-42d (No. 122)
One atom of each set of equivalent atoms:
Sn 0.0000 0.0000 0.0000 (multiplicity 4)  4 H 2.65
As 0.0000 0.0000 0.5000 (multiplicity 4)  4 H 1.83
H 0.0575 0.2500 0.6250 (multiplicity 8)  2 As 1.83

---

Entry 10:
Below is an optimized crystal structure of SrAsH, with properties calculated at the GGA-PBEsol level.

Values from the calculation:
DFT total energy: -0.152 Ha/atom
size of the total moment: 0.0 μB per cell

Lattice parameters (Å, degrees): 4.2852 4.7238 6.3671 90.00 97.96 90.00
With the nearest neighbours (Å) after each atom.
Space group P2_1/m (No. 11)
One atom of each set of equivalent atoms:
Sr 0.2386 0.2500 0.2546 (multiplicity 2)  3 H 2.68-2.71
As 0.2687 0.2500 0.7610 (multiplicity 2)  1 H 1.57
H 0.0517 0.7500 0.3935 (multiplicity 2)  1 As 1.57

---

Entry 11:
Below is an optimized crystal structure of Sr2AsH2, with properties calculated at the GGA-PBEsol level.

Values from the calculation:
DFT total energy: -0.139 Ha/atom
size of the total moment: 0.0 μB per cell

Lattice parameters (Å, degrees): 3.8153 3.8153 13.6091 90.00 90.00 90.00
With the nearest neighbours (Å) after each atom.
Space group I4/mmm (No. 139)
One atom of each set of equivalent atoms:
Sr 0.0000 0.0000 0.1431 (multiplicity 4)  4 H 2.40
As 0.0000 0.0000 0.5000 (multiplicity 2)  8 Sr 3.33
H 0.0000 0.5000 0.2500 (multiplicity 4)  4 Sr 2.40

---

Entry 12:
Below is an optimized crystal structure of Tc2TeAsH, with properties calculated at the GGA-PBEsol level.

Values from the calculation:
DFT total energy: -0.233 Ha/atom
size of the total moment: 0.0 μB per cell

Lattice parameters (Å, degrees): 4.7066 4.7066 3.3174 90.00 90.00 90.00
With the nearest neighbours (Å) after each atom.
Space group P4/mmm (No. 123)
One atom of each set of equivalent atoms:
Tc 0.0000 0.5000 0.0000 (multiplicity 2)  2 As 2.35
Te 0.0000 0.0000 0.5000 (multiplicity 1)  8 Tc 2.88
As 0.5000 0.5000 0.0000 (multiplicity 1)  2 H 1.66
H 0.5000 0.5000 0.5000 (multiplicity 1)  2 As 1.66

---

Entry 13:
Below is an optimized crystal structure of Ti3AsH, with properties calculated at the GGA-PBEsol level.

Values from the calculation:
size of the total moment: 0.0 μB per cell
E above lowest polymorph: 0.000 eV/atom

Lattice parameters (Å, degrees): 3.9626 3.9626 3.9626 90.00 90.00 90.00
With the nearest neighbours (Å) after each atom.
Space group Pm-3m (No. 221)
One atom of each set of equivalent atoms:
Ti 0.0000 0.0000 0.5000 (multiplicity 3)  2 H 1.98
As 0.5000 0.5000 0.5000 (multiplicity 1)  12 Ti 2.80
H 0.0000 0.0000 0.0000 (multiplicity 1)  6 Ti 1.98

---

Entry 14:
Below is an optimized crystal structure of Ti2AsH, with properties calculated at the GGA-PBEsol level.

Values from the calculation:
DFT total energy: -0.254 Ha/atom
size of the total moment: 0.0 μB per cell

Lattice parameters (Å, degrees): 5.9268 5.9268 5.6776 90.00 90.00 90.00
With the nearest neighbours (Å) after each atom.
Space group I-42d (No. 122)
One atom of each set of equivalent atoms:
Ti 0.1579 0.2500 0.1250 (multiplicity 8)  2 H 1.89
As 0.0000 0.0000 0.5000 (multiplicity 4)  8 Ti 2.61-2.76, 2 H 2.84
H 0.0000 0.0000 0.0000 (multiplicity 4)  4 Ti 1.89